Computed, not measured: a crystal of Mn2SiS relaxed with PBEsol at the SCAN level of DFT.

```
Mn2SiS
1.0
3.9229 0.0000 0.0000
1.9615 3.3973 0.0000
1.9615 1.1324 3.2030
S Mn Si
1 2 1
Direct
0.5000 0.5000 0.5000
0.7500 0.7500 0.7500
0.2500 0.2500 0.2500
0.0000 0.0000 0.0000
```

Output
As for the uncorrected formation energy: 100 meV/atom. The total magnetization comes out at 0.005 Bohr magnetons per cell.

Computed, not measured: a crystal of In2IrBr relaxed with PBEsol at the SCAN level of DFT.

```
In2IrBr
1.0
3.9245 0.0000 0.0000
1.9622 4.8808 0.3006
1.9622 1.8527 4.5254
In Ir Br
2 1 1
Direct
0.2247 0.7753 0.7753
0.7753 0.2247 0.2247
0.5000 0.0000 0.0000
0.0000 0.5000 0.5000
```

Output
As for the uncorrected formation energy: 464 meV/atom. The offset from the most stable computed form is 0.0000 eV/atom. The total magnetization comes out at 0.007 Bohr magnetons per cell.